AlCrIr2 | GGA-PBE | relaxed

Lattice parameters (Å, degrees): 4.1088 2.7308 9.9304 90.00 90.00 90.00
Space group Amm2 (No. 38)
One atom of each set of equivalent atoms:
Al (0.0000, 0.0000, 0.0000) (multiplicity 2)
Cr (0.5000, 0.0000, 0.1543) (multiplicity 2)
Ir (0.0000, 0.0000, 0.7410) (multiplicity 2)
Ir (0.5000, 0.0000, 0.4145) (multiplicity 2)

* volume: 13.928 A^3/atom
* energy relative to the elements: -1.2 eV/f.u.